(1)
Entry from Alexandria via LeMat-Bulk: a relaxed ThBe4Pd8 crystal (PBE-GGA).

Lattice parameters (Å, degrees): 6.541 6.541 6.541 98.94 98.94 133.56
Fractional coordinates of all 13 atoms:
Th1 0.000 0.000 0.000
Be1 0.000 0.000 0.500
Be2 0.000 0.500 0.000
Be3 0.500 0.000 0.000
Be4 0.500 0.500 0.500
Pd1 0.000 0.333 0.333
Pd2 0.000 0.667 0.667
Pd3 0.274 0.500 0.774
Pd4 0.333 0.000 0.333
Pd5 0.500 0.274 0.774
Pd6 0.500 0.726 0.226
Pd7 0.667 0.000 0.667
Pd8 0.726 0.500 0.226

Calculated values
The calculation puts the calculated volume at 186 Å³/f.u. Its total magnetization is 0.0 μB/cell. For the formation energy, the calculation gives -0.565 eV per atom. The raw total energy is -71.21 eV for the cell shown.

=====

(2)
Entry from Alexandria via LeMat-Bulk: a relaxed Ta14Cu3S24 crystal (PBE-GGA).

Lattice parameters (Å, degrees): 6.685 8.824 13.073 92.35 97.88 101.35
Fractional coordinates of all 41 atoms:
Ta1 0.000 0.000 0.000
Ta2 0.029 0.608 0.513
Ta3 0.158 0.672 0.005
Ta4 0.200 0.277 0.510
Ta5 0.286 0.324 0.759
Ta6 0.329 0.335 0.007
Ta7 0.371 0.947 0.516
Ta8 0.490 0.995 0.002
Ta9 0.532 0.608 0.511
Ta10 0.578 0.620 0.759
Ta11 0.663 0.665 0.007
Ta12 0.707 0.272 0.512
Ta13 0.838 0.335 0.004
Ta14 0.866 0.945 0.516
Cu1 0.225 0.692 0.222
Cu2 0.638 0.258 0.294
Cu3 0.808 0.917 0.295
S1 0.016 0.401 0.635
S2 0.022 0.212 0.878
S3 0.088 0.233 0.125
S4 0.115 0.042 0.392
S5 0.180 0.874 0.880
S6 0.184 0.072 0.638
S7 0.254 0.911 0.127
S8 0.274 0.711 0.394
S9 0.340 0.549 0.884
S10 0.344 0.732 0.635
S11 0.423 0.568 0.128
S12 0.439 0.376 0.389
S13 0.520 0.212 0.883
S14 0.524 0.394 0.634
S15 0.589 0.233 0.123
S16 0.603 0.036 0.389
S17 0.679 0.870 0.880
S18 0.684 0.068 0.636
S19 0.755 0.904 0.123
S20 0.774 0.703 0.392
S21 0.841 0.731 0.638
S22 0.848 0.543 0.882
S23 0.914 0.564 0.128
S24 0.951 0.378 0.389

Calculated values
The calculation puts the calculated volume at 747 Å³/f.u. Its total magnetization is 0.0 μB/cell. Its uncorrected formation energy is -4024 kJ/mol of formula units. The raw total energy is -318.99 eV for the cell shown.

=====

Question: Number 2 is which compound?
Answer: Ta14Cu3S24

=====

Question: Look up the calculated volume of the first one.
Answer: 186 Å³/f.u.

=====

Question: Among the records above, which one has the lowest raw total energy?
Answer: Ta14Cu3S24